DFT (PBE-GGA) results for a relaxed structure of CuAgPS2.

a b c (Å): 4.894 4.894 4.688
angles (deg): 90.00 90.00 90.00
Fractional positions:
Cu 0.000 0.000 0.000
Ag 0.500 0.500 0.500
P 0.500 0.500 0.000
S 0.000 0.500 0.500
S 0.500 0.000 0.500

Calculated values
- excess energy over the best structure of this formula in the dataset (meV/atom) = 488